Version 1
Compound: PmHo2Cu
Source: Alexandria
Functional: GGA-PBE
Structure: relaxed

Calculated values
Space group = No. 166
Spin magnetization = 0.00 μB per cell
DOS(E_F) = 5.6 states/eV per cell

The structure in POSCAR format:
```
PmHo2Cu
1.0
1.8046 1.0419 9.9041
-1.8046 1.0419 9.9041
0.0000 -2.0838 9.9041
Pm Ho Cu
1 2 1
Cartesian
0.0000 0.0000 0.0000
0.0000 0.0000 6.9283
0.0000 0.0000 22.7841
0.0000 0.0000 14.8562
```

=====

Version 2
Compound: PmHo2Cu
Source: Alexandria
Functional: GGA-PBE
Structure: relaxed

Calculated values
Space group = No. 123
Spin magnetization = 0.00 μB per cell
DOS(E_F) = 4.1 states/eV per cell

The structure in POSCAR format:
```
PmHo2Cu
1.0
3.5030 0.0000 0.0000
0.0000 3.5030 0.0000
0.0000 0.0000 8.6821
Pm Ho Cu
1 2 1
Cartesian
0.0000 0.0000 0.0000
1.7515 1.7515 2.6661
1.7515 1.7515 6.0160
0.0000 0.0000 4.3411
```

=====

Most stable: version 2

=====

Version 1
Compound: PmHo2Cu
Source: Alexandria
Functional: GGA-PBE
Structure: relaxed

Calculated values
Space group = No. 63
Spin magnetization = 0.00 μB per cell
DOS(E_F) = 10.9 states/eV per cell

The structure in POSCAR format:
```
PmHo2Cu
1.0
2.4659 -5.8528 0.0000
2.4659 5.8528 0.0000
0.0000 0.0000 7.4982
Pm Ho Cu
2 4 2
Cartesian
2.4659 5.2998 5.6236
2.4659 -5.2998 1.8745
2.4659 1.7489 3.9810
2.4659 1.7489 7.2663
2.4659 -1.7489 0.2319
2.4659 -1.7489 3.5172
2.4659 3.4978 1.8745
2.4659 -3.4978 5.6236
```

=====

Version 2
Compound: PmHo2Cu
Source: Alexandria
Functional: GGA-PBE
Structure: relaxed

Calculated values
Space group = No. 62
Spin magnetization = 0.00 μB per cell
DOS(E_F) = 20.0 states/eV per cell

The structure in POSCAR format:
```
PmHo2Cu
1.0
6.8250 0.0000 0.0000
0.0000 9.8665 0.0000
0.0000 0.0000 6.4776
Pm Ho Cu
4 8 4
Cartesian
0.0664 2.4666 0.8769
3.3461 7.3999 4.1157
3.4789 2.4666 2.3619
6.7586 7.3999 5.6007
1.2494 0.5719 4.3974
1.2494 4.3613 4.3974
2.1631 5.5052 1.1586
2.1631 9.2946 1.1586
4.6619 0.5719 5.3189
4.6619 4.3613 5.3189
5.5756 5.5052 2.0801
5.5756 9.2946 2.0801
0.7202 7.3999 2.7855
2.6923 2.4666 6.0243
4.1328 7.3999 0.4532
6.1048 2.4666 3.6920
```

=====

Most stable: version 2